(1)
Compound: Dy4Y3Sc4
Source: the Alexandria database
Functional: PBE
Structure: relaxed

- Volume: 319.0 Å³/cell
- Energy relative to the elements: 0.07 eV/atom
- Total DFT energy (no corrections): -62.4 eV/f.u.
- Space-group type: P-1 (2)

POSCAR file:
```
Dy4Y3Sc4
1.0
3.4300 0.0000 0.0000
-0.0001 5.4047 0.0000
-1.7128 -2.6951 17.2105
Dy Y Sc
4 3 4
direct
0.0471 0.0477 0.0946 Dy
0.1818 0.6825 0.3646 Dy
0.8182 0.3175 0.6354 Dy
0.9529 0.9523 0.9054 Dy
0.3618 0.8610 0.7227 Y
0.5000 0.5000 0.0000 Y
0.6382 0.1390 0.2773 Y
0.0915 0.5925 0.1840 Sc
0.2345 0.2343 0.4685 Sc
0.7655 0.7657 0.5315 Sc
0.9085 0.4075 0.8160 Sc
```

=====

(2)
Compound: CrP2SeBr
Source: the Alexandria database
Functional: PBE
Structure: relaxed

- Volume: 109.9 Å³/cell
- Raw formation energy: 38.9 kcal/mol of atoms
- Total DFT energy (no corrections): -17.2 eV/f.u.
- Space-group type: P4/mmm (123)

POSCAR file:
```
CrP2SeBr
1.0
4.9593 0.0000 0.0000
0.0000 4.9593 0.0000
0.0000 0.0000 4.4670
Cr P Se Br
1 2 1 1
direct
0.0000 0.0000 0.0000 Cr
0.0000 0.5000 0.5000 P
0.5000 0.0000 0.5000 P
0.5000 0.5000 0.0000 Se
0.0000 0.0000 0.5000 Br
```

=====

(3)
Compound: CuNi
Source: the Alexandria database
Functional: PBE
Structure: relaxed

- Volume: 102.7 Å³/cell
- Energy relative to the elements: 0.53 eV/atom
- Total DFT energy (no corrections): -8.8 eV/f.u.
- Space-group type: P4_2/mnm (136)

POSCAR file:
```
CuNi
1.0
4.6471 0.0000 0.0000
0.0000 4.6471 0.0000
0.0000 0.0000 4.7566
Cu Ni
4 4
direct
0.1860 0.1860 0.0000 Cu
0.3140 0.6860 0.5000 Cu
0.6860 0.3140 0.5000 Cu
0.8140 0.8140 0.0000 Cu
0.1837 0.1837 0.5000 Ni
0.3163 0.6837 0.0000 Ni
0.6837 0.3163 0.0000 Ni
0.8163 0.8163 0.5000 Ni
```

=====

(4)
Compound: CdP2Cl
Source: the Alexandria database
Functional: PBE
Structure: relaxed

- Volume: 101.7 Å³/cell
- Energy above the most stable polymorph in this dataset: 77.6 meV/atom
- Raw formation energy: -3.3 kcal/mol of atoms
- Total DFT energy (no corrections): -14.2 eV/f.u.
- Space-group type: Cm (8)

POSCAR file:
```
CdP2Cl
1.0
3.8615 -1.6725 0.0000
3.8615 1.6725 0.0000
-0.8072 0.0000 7.8722
Cd P Cl
1 2 1
direct
0.0000 0.0000 0.0000 Cd
0.0264 0.0264 0.6271 P
0.3818 0.3818 0.7338 P
0.7201 0.7201 0.1730 Cl
```

=====

(5)
Compound: Mg14CdSn
Source: the Alexandria database
Functional: PBE
Structure: relaxed

- Volume: 365.5 Å³/cell
- Energy above the most stable polymorph in this dataset: 4.4 meV/atom
- Energy relative to the elements: -0.03 eV/atom
- Total DFT energy (no corrections): -27.8 eV/f.u.
- Space-group type: P4/mmm (123)

POSCAR file:
```
Mg14CdSn
1.0
6.3740 0.0000 0.0000
0.0000 6.3740 0.0000
0.0000 0.0000 8.9975
Mg Cd Sn
14 1 1
direct
0.0000 0.0000 0.0000 Mg
0.0000 0.5000 0.0000 Mg
0.0000 0.5000 0.5000 Mg
0.2474 0.2474 0.2534 Mg
0.2474 0.2474 0.7466 Mg
0.2474 0.7526 0.2534 Mg
0.2474 0.7526 0.7466 Mg
0.5000 0.0000 0.0000 Mg
0.5000 0.0000 0.5000 Mg
0.5000 0.5000 0.0000 Mg
0.7526 0.2474 0.2534 Mg
0.7526 0.2474 0.7466 Mg
0.7526 0.7526 0.2534 Mg
0.7526 0.7526 0.7466 Mg
0.0000 0.0000 0.5000 Cd
0.5000 0.5000 0.5000 Sn
```

=====

(6)
Compound: CdHg2Sb2
Source: the Alexandria database
Functional: PBE
Structure: relaxed

- Volume: 280.1 Å³/cell
- Energy above the most stable polymorph in this dataset: 3.0 meV/atom
- Raw formation energy: 3.7 kcal/mol of atoms
- Total DFT energy (no corrections): -9.0 eV/f.u.
- Space-group type: P4/mbm (127)

POSCAR file:
```
CdHg2Sb2
1.0
7.8400 0.0000 0.0000
0.0000 7.8400 0.0000
0.0000 0.0000 4.5575
Cd Hg Sb
2 4 4
direct
0.0000 0.0000 0.0000 Cd
0.5000 0.5000 0.0000 Cd
0.1687 0.3313 0.5000 Hg
0.3313 0.8313 0.5000 Hg
0.6687 0.1687 0.5000 Hg
0.8313 0.6687 0.5000 Hg
0.1379 0.6379 0.0000 Sb
0.3621 0.1379 0.0000 Sb
0.6379 0.8621 0.0000 Sb
0.8621 0.3621 0.0000 Sb
```

=====

(7)
Compound: OsRh3
Source: the Alexandria database
Functional: PBE
Structure: relaxed

- Volume: 56.7 Å³/cell
- Energy relative to the elements: 0.06 eV/atom
- Total DFT energy (no corrections): -33.0 eV/f.u.
- Space-group type: Cmmm (65)

POSCAR file:
```
OsRh3
1.0
2.7113 -3.8642 0.0000
2.7113 3.8642 0.0000
0.0000 0.0000 2.7050
Os Rh
1 3
direct
0.0000 0.0000 0.0000 Os
0.0000 0.5000 0.5000 Rh
0.5000 0.0000 0.5000 Rh
0.5000 0.5000 0.0000 Rh
```

=====

(8)
Compound: Sc2AsRu
Source: the Alexandria database
Functional: PBE
Structure: relaxed

- Volume: 70.3 Å³/cell
- Energy relative to the elements: -0.63 eV/atom
- Total DFT energy (no corrections): -29.1 eV/f.u.
- Space-group type: I-4m2 (119)

POSCAR file:
```
Sc2AsRu
1.0
-1.9279 1.9279 4.7302
1.9279 -1.9279 4.7302
1.9279 1.9279 -4.7302
Sc As Ru
2 1 1
direct
0.0000 0.0000 0.0000 Sc
0.7500 0.2500 0.5000 Sc
0.2500 0.7500 0.5000 As
0.5000 0.5000 0.0000 Ru
```

=====

(9)
Compound: Ca3ZnBi2
Source: the Alexandria database
Functional: PBE
Structure: relaxed

- Volume: 742.4 Å³/cell
- Energy relative to the elements: -0.65 eV/atom
- Total DFT energy (no corrections): -19.0 eV/f.u.
- Space-group type: Pnma (62)

POSCAR file:
```
Ca3ZnBi2
1.0
12.4091 0.0000 0.0000
0.0000 4.7256 0.0000
0.0000 0.0000 12.6604
Ca Zn Bi
12 4 8
direct
0.0561 0.2500 0.1183 Ca
0.1318 0.7500 0.5591 Ca
0.2056 0.2500 0.7946 Ca
0.2944 0.7500 0.2946 Ca
0.3682 0.2500 0.0591 Ca
0.4439 0.7500 0.6183 Ca
0.5561 0.2500 0.3817 Ca
0.6318 0.7500 0.9409 Ca
0.7056 0.2500 0.7054 Ca
0.7944 0.7500 0.2054 Ca
0.8682 0.2500 0.4409 Ca
0.9439 0.7500 0.8817 Ca
0.1646 0.2500 0.3197 Zn
0.3354 0.7500 0.8197 Zn
0.6646 0.2500 0.1803 Zn
0.8354 0.7500 0.6803 Zn
0.0204 0.7500 0.3237 Bi
0.1886 0.7500 0.9975 Bi
0.3114 0.2500 0.4975 Bi
0.4796 0.2500 0.8237 Bi
0.5204 0.7500 0.1763 Bi
0.6886 0.7500 0.5025 Bi
0.8114 0.2500 0.0025 Bi
0.9796 0.2500 0.6763 Bi
```

=====

(10)
Compound: PmGe2IrPd2
Source: the Alexandria database
Functional: PBE
Structure: relaxed

- Volume: 146.4 Å³/cell
- Energy relative to the elements: 0.03 eV/atom
- Total DFT energy (no corrections): -33.1 eV/f.u.
- Space-group type: I4/mmm (139)

POSCAR file:
```
PmGe2IrPd2
1.0
-1.9739 1.9739 9.3964
1.9739 -1.9739 9.3964
1.9739 1.9739 -9.3964
Pm Ge Ir Pd
1 2 1 2
direct
0.0000 0.0000 0.0000 Pm
0.1665 0.1665 0.0000 Ge
0.8335 0.8335 0.0000 Ge
0.5000 0.5000 0.0000 Ir
0.2500 0.7500 0.5000 Pd
0.7500 0.2500 0.5000 Pd
```

=====

(11)
Compound: HgIr2Cl
Source: the Alexandria database
Functional: PBE
Structure: relaxed

- Volume: 66.6 Å³/cell
- Energy above the most stable polymorph in this dataset: 688.6 meV/atom
- Raw formation energy: 23.0 kcal/mol of atoms
- Total DFT energy (no corrections): -15.9 eV/f.u.
- Space-group type: P4/mmm (123)

POSCAR file:
```
HgIr2Cl
1.0
2.9182 0.0000 0.0000
0.0000 2.9182 0.0000
0.0000 0.0000 7.8259
Hg Ir Cl
1 2 1
direct
0.0000 0.0000 0.0000 Hg
0.5000 0.5000 0.2662 Ir
0.5000 0.5000 0.7338 Ir
0.0000 0.0000 0.5000 Cl
```

=====

(12)
Compound: Ba2BIrO6
Source: the Alexandria database
Functional: PBE
Structure: relaxed

- Volume: 138.2 Å³/cell
- Raw formation energy: -39.9 kcal/mol of atoms
- Total DFT energy (no corrections): -66.4 eV/f.u.
- Space-group type: I4/mmm (139)

POSCAR file:
```
Ba2BIrO6
1.0
-3.1989 3.1989 3.3773
3.1989 -3.1989 3.3773
3.1989 3.1989 -3.3773
Ba B Ir O
2 1 1 6
direct
0.2500 0.7500 0.5000 Ba
0.7500 0.2500 0.5000 Ba
0.0000 0.0000 0.0000 B
0.5000 0.5000 0.0000 Ir
0.1905 0.1905 0.0000 O
0.2821 0.2821 0.5641 O
0.2821 0.7179 0.0000 O
0.7179 0.2821 0.0000 O
0.7179 0.7179 0.4359 O
0.8095 0.8095 0.0000 O
```

=====

(13)
Compound: AcPrZnBr
Source: the Alexandria database
Functional: PBE
Structure: relaxed

- Volume: 117.3 Å³/cell
- Raw formation energy: -12.0 kcal/mol of atoms
- Total DFT energy (no corrections): -13.9 eV/f.u.
- Space-group type: F-43m (216)

POSCAR file:
```
AcPrZnBr
1.0
0.0000 3.8853 3.8853
3.8853 0.0000 3.8853
3.8853 3.8853 0.0000
Ac Pr Zn Br
1 1 1 1
direct
0.0000 0.0000 0.0000 Ac
0.5000 0.5000 0.5000 Pr
0.7500 0.7500 0.7500 Zn
0.2500 0.2500 0.2500 Br
```

=====

(14)
Compound: Rb2Si2Te5
Source: the Alexandria database
Functional: PBE
Structure: relaxed

- Volume: 358.8 Å³/cell
- Raw formation energy: -7.1 kcal/mol of atoms
- Total DFT energy (no corrections): -31.3 eV/f.u.
- Space-group type: C2/m (12)

POSCAR file:
```
Rb2Si2Te5
1.0
6.9184 -2.6556 0.0000
6.9184 2.6556 0.0000
-2.3917 0.0000 9.7657
Rb Si Te
2 2 5
direct
0.0923 0.0923 0.3444 Rb
0.9077 0.9077 0.6556 Rb
0.3346 0.3346 0.1114 Si
0.6654 0.6654 0.8886 Si
0.1458 0.1458 0.9722 Te
0.3797 0.3797 0.3651 Te
0.5000 0.5000 0.0000 Te
0.6203 0.6203 0.6349 Te
0.8542 0.8542 0.0278 Te
```

=====

(15)
Compound: MnCrP
Source: the Alexandria database
Functional: PBE
Structure: relaxed

- Volume: 33.5 Å³/cell
- Energy relative to the elements: -0.16 eV/atom
- Total DFT energy (no corrections): -24.7 eV/f.u.
- Space-group type: Imm2 (44)

POSCAR file:
```
MnCrP
1.0
-1.3416 1.8013 3.4626
1.3416 -1.8013 3.4626
1.3416 1.8013 -3.4626
Mn Cr P
1 1 1
direct
0.0000 0.0000 0.0000 Mn
0.3236 0.3236 0.0000 Cr
0.6616 0.6616 0.0000 P
```

=====

(16)
Compound: BeHg3
Source: the Alexandria database
Functional: PBE
Structure: relaxed

- Volume: 82.8 Å³/cell
- Energy above the most stable polymorph in this dataset: 124.1 meV/atom
- Energy relative to the elements: 0.34 eV/atom
- Total DFT energy (no corrections): -3.3 eV/f.u.
- Space-group type: P4/mmm (123)

POSCAR file:
```
BeHg3
1.0
3.1186 0.0000 0.0000
0.0000 3.1186 0.0000
0.0000 0.0000 8.5125
Be Hg
1 3
direct
0.0000 0.0000 0.0000 Be
0.0000 0.0000 0.5000 Hg
0.5000 0.5000 0.1859 Hg
0.5000 0.5000 0.8141 Hg
```

=====

(17)
Compound: AcPt2O8
Source: the Alexandria database
Functional: PBE
Structure: relaxed

- Volume: 146.0 Å³/cell
- Raw formation energy: -12.6 kcal/mol of atoms
- Total DFT energy (no corrections): -61.9 eV/f.u.
- Space-group type: P4/mmm (123)

POSCAR file:
```
AcPt2O8
1.0
4.8942 0.0000 0.0000
0.0000 4.8942 0.0000
0.0000 0.0000 6.0940
Ac Pt O
1 2 8
direct
0.0000 0.0000 0.0000 Ac
0.0000 0.5000 0.5000 Pt
0.5000 0.0000 0.5000 Pt
0.2535 0.2535 0.3072 O
0.2535 0.2535 0.6928 O
0.2535 0.7465 0.3072 O
0.2535 0.7465 0.6928 O
0.7465 0.2535 0.3072 O
0.7465 0.2535 0.6928 O
0.7465 0.7465 0.3072 O
0.7465 0.7465 0.6928 O
```

=====

(18)
Compound: KHfPt2
Source: the Alexandria database
Functional: PBE
Structure: relaxed

- Volume: 79.5 Å³/cell
- Energy above the most stable polymorph in this dataset: 0.0 meV/atom
- Energy relative to the elements: -0.16 eV/atom
- Total DFT energy (no corrections): -23.8 eV/f.u.
- Space-group type: Fm-3m (225)

POSCAR file:
```
KHfPt2
1.0
0.0000 3.4124 3.4124
3.4124 0.0000 3.4124
3.4124 3.4124 0.0000
K Hf Pt
1 1 2
direct
0.0000 0.0000 0.0000 K
0.5000 0.5000 0.5000 Hf
0.2500 0.2500 0.2500 Pt
0.7500 0.7500 0.7500 Pt
```

=====

(19)
Compound: Ce2HoZn9
Source: the Alexandria database
Functional: PBE
Structure: relaxed

- Volume: 220.8 Å³/cell
- Energy relative to the elements: -0.26 eV/atom
- Total DFT energy (no corrections): -31.0 eV/f.u.
- Space-group type: R-3m (166)

POSCAR file:
```
Ce2HoZn9
1.0
2.6908 1.5535 8.8049
-2.6908 1.5535 8.8049
0.0000 -3.1071 8.8049
Ce Ho Zn
2 1 9
direct
0.1474 0.1474 0.1474 Ce
0.8526 0.8526 0.8526 Ce
0.0000 0.0000 0.0000 Ho
0.0765 0.5824 0.5824 Zn
0.3352 0.3352 0.3352 Zn
0.4176 0.4176 0.9235 Zn
0.4176 0.9235 0.4176 Zn
0.5000 0.5000 0.5000 Zn
0.5824 0.0765 0.5824 Zn
0.5824 0.5824 0.0765 Zn
0.6648 0.6648 0.6648 Zn
0.9235 0.4176 0.4176 Zn
```

=====

(20)
Compound: KMgAg2
Source: the Alexandria database
Functional: PBE
Structure: relaxed

- Volume: 99.0 Å³/cell
- Energy relative to the elements: 0.09 eV/atom
- Total DFT energy (no corrections): -8.0 eV/f.u.
- Space-group type: Imm2 (44)

POSCAR file:
```
KMgAg2
1.0
-1.5857 2.7597 5.6549
1.5857 -2.7597 5.6549
1.5857 2.7597 -5.6549
K Mg Ag
1 1 2
direct
0.0000 0.0000 0.0000 K
0.2966 0.7966 0.5000 Mg
0.5100 0.5100 0.0000 Ag
0.7215 0.2215 0.5000 Ag
```

=====

(21)
Compound: NdCl2F
Source: the Alexandria database
Functional: PBE
Structure: relaxed

- Volume: 101.1 Å³/cell
- Energy above the most stable polymorph in this dataset: 0.0 meV/atom
- Raw formation energy: -66.6 kcal/mol of atoms
- Total DFT energy (no corrections): -21.9 eV/f.u.
- Space-group type: Cm (8)

POSCAR file:
```
NdCl2F
1.0
3.5527 -2.0508 0.0000
3.5527 2.0508 0.0000
-2.2939 0.0000 6.9387
Nd Cl F
1 2 1
direct
0.0000 0.0000 0.0000 Nd
0.2507 0.2507 0.7439 Cl
0.4160 0.4160 0.2559 Cl
0.6667 0.6667 0.9999 F
```

=====

(22)
Compound: GdSn2Hg
Source: the Alexandria database
Functional: PBE
Structure: relaxed

- Volume: 106.7 Å³/cell
- Energy above the most stable polymorph in this dataset: 287.6 meV/atom
- Energy relative to the elements: -0.18 eV/atom
- Total DFT energy (no corrections): -23.1 eV/f.u.
- Space-group type: R-3m (166)

POSCAR file:
```
GdSn2Hg
1.0
2.6599 1.5357 4.3548
-2.6599 1.5357 4.3548
0.0000 -3.0714 4.3548
Gd Sn Hg
1 2 1
direct
0.0000 0.0000 0.0000 Gd
0.2497 0.2497 0.2497 Sn
0.7503 0.7503 0.7503 Sn
0.5000 0.5000 0.5000 Hg
```

=====

(23)
Compound: Sr3In3Ga2
Source: the Alexandria database
Functional: PBE
Structure: relaxed

- Volume: 471.4 Å³/cell
- Energy relative to the elements: -0.46 eV/atom
- Total DFT energy (no corrections): -23.0 eV/f.u.
- Space-group type: Cmcm (63)

POSCAR file:
```
Sr3In3Ga2
1.0
2.4363 -5.8702 0.0000
2.4363 5.8702 0.0000
0.0000 0.0000 16.4826
Sr In Ga
6 6 4
direct
0.0858 0.9142 0.6089 Sr
0.0858 0.9142 0.8911 Sr
0.3657 0.6343 0.7500 Sr
0.6343 0.3657 0.2500 Sr
0.9142 0.0858 0.1089 Sr
0.9142 0.0858 0.3911 Sr
0.3407 0.6593 0.2500 In
0.3740 0.6260 0.5340 In
0.3740 0.6260 0.9660 In
0.6260 0.3740 0.0340 In
0.6260 0.3740 0.4660 In
0.6593 0.3407 0.7500 In
0.2099 0.7901 0.1029 Ga
0.2099 0.7901 0.3971 Ga
0.7901 0.2099 0.6029 Ga
0.7901 0.2099 0.8971 Ga
```

=====

(24)
Compound: Ba2Pd3PbAu12
Source: the Alexandria database
Functional: PBE
Structure: relaxed

- Volume: 489.3 Å³/cell
- Energy relative to the elements: 0.06 eV/atom
- Total DFT energy (no corrections): -61.3 eV/f.u.
- Space-group type: R-3m (166)

POSCAR file:
```
Ba2Pd3PbAu12
1.0
4.4973 2.5965 6.9837
-4.4973 2.5965 6.9837
0.0000 -5.1930 6.9837
Ba Pd Pb Au
2 3 1 12
direct
0.1126 0.1126 0.1126 Ba
0.8874 0.8874 0.8874 Ba
0.0000 0.5000 0.5000 Pd
0.5000 0.0000 0.5000 Pd
0.5000 0.5000 0.0000 Pd
0.5000 0.5000 0.5000 Pb
0.1143 0.6295 0.6295 Au
0.1421 0.1421 0.6367 Au
0.1421 0.6367 0.1421 Au
0.3633 0.8579 0.8579 Au
0.3705 0.3705 0.8857 Au
0.3705 0.8857 0.3705 Au
0.6295 0.1143 0.6295 Au
0.6295 0.6295 0.1143 Au
0.6367 0.1421 0.1421 Au
0.8579 0.3633 0.8579 Au
0.8579 0.8579 0.3633 Au
0.8857 0.3705 0.3705 Au
```